# 1
First-principles (PBE) data for a relaxed structure of YHgPb2, as listed in Alexandria via LeMat-Bulk.

```
YHgPb2
1.0
4.836 0.000 0.000
0.000 4.836 0.000
0.000 0.000 4.641
Pb Y Hg
2 1 1
Direct
0.500 0.500 0.000 Pb
0.000 0.000 0.000 Pb
0.500 0.000 0.500 Y
0.000 0.500 0.500 Hg
```

Summary:
Volume = 109 Å³/cell
DFT formation energy = -322.6 meV per atom
Size of the total moment = 0.000 μB per atom
Symmetry = No. 123

---

# 2
First-principles (PBE) data for a relaxed structure of ZrReBi2Cl, as listed in Alexandria via LeMat-Bulk.

```
ZrReBi2Cl
1.0
-4.480 -2.821 -0.251
1.503 -1.977 -4.596
2.387 -4.013 2.507
Cl Bi Zr Re
1 2 1 1
Direct
0.500 0.500 0.500 Cl
0.000 0.000 0.500 Bi
0.500 0.000 0.000 Bi
0.000 0.500 0.000 Zr
0.000 0.000 0.000 Re
```

Summary:
Volume = 147 Å³/cell
Energy relative to the elements, uncorrected = 0.471 eV/atom
Size of the total moment = 0.000 μB per atom
Symmetry = No. 123

---

# 3
First-principles (PBE) data for a relaxed structure of MnReSb2Au, as listed in Alexandria via LeMat-Bulk.

```
MnReSb2Au
1.0
-3.318 -3.257 -1.341
2.055 -0.428 -4.047
2.765 -3.550 1.780
Mn Au Sb Re
1 1 2 1
Direct
0.000 0.000 0.000 Mn
0.500 0.500 0.500 Au
0.500 0.000 0.000 Sb
0.000 0.000 0.500 Sb
0.000 0.500 0.000 Re
```

Summary:
Volume = 107 Å³/cell
Energy relative to the elements, uncorrected = 1.032 eV/atom
Size of the total moment = 0.251 μB per atom
Symmetry = No. 123

---

# 4
First-principles (PBE) data for a relaxed structure of TaMo3, as listed in Alexandria via LeMat-Bulk.

```
TaMo3
1.0
-2.867 -2.743 2.187
2.747 0.703 4.483
-2.630 4.397 2.068
Ta Mo
2 6
Direct
0.000 0.002 0.498 Ta
0.500 0.248 0.127 Ta
0.000 0.997 0.999 Mo
0.500 0.744 0.376 Mo
0.500 0.253 0.626 Mo
0.000 0.495 0.753 Mo
0.000 0.506 0.249 Mo
0.500 0.755 0.872 Mo
```

Summary:
Volume = 131 Å³/cell
DFT formation energy = -144.6 meV per atom
Size of the total moment = 0.000 μB per atom
Symmetry = No. 11

---

# 5
First-principles (PBE) data for a relaxed structure of Li6GePb, as listed in Alexandria via LeMat-Bulk.

```
Li6GePb
1.0
-3.057 3.479 0.004
-4.438 -3.900 0.655
2.646 2.319 4.792
Li Ge Pb
6 1 1
Direct
0.000 0.570 0.430 Li
0.500 0.919 0.081 Li
0.500 0.411 0.081 Li
0.500 0.919 0.589 Li
0.000 0.569 0.889 Li
0.000 0.111 0.431 Li
0.500 0.417 0.583 Ge
0.000 0.083 0.917 Pb
```

Summary:
Volume = 142 Å³/cell
DFT formation energy = -251.9 meV per atom
Size of the total moment = 0.000 μB per atom
Polymorph energy (0 for the lowest one) = 61 meV per atom
Symmetry = No. 187

---

# 6
First-principles (PBE) data for a relaxed structure of NdCdNi, as listed in Alexandria via LeMat-Bulk.

```
NdCdNi
1.0
-1.377 3.484 -1.350
-5.426 -0.077 5.339
7.891 6.262 8.109
Ni Cd Nd
6 6 6
Direct
0.500 0.057 0.411 Ni
0.000 0.561 0.250 Ni
0.500 0.943 0.589 Ni
0.500 0.057 0.089 Ni
0.500 0.943 0.911 Ni
0.000 0.439 0.750 Ni
0.500 0.569 0.874 Cd
0.500 0.801 0.250 Cd
0.500 0.569 0.626 Cd
0.500 0.199 0.750 Cd
0.500 0.431 0.126 Cd
0.500 0.431 0.374 Cd
0.000 0.855 0.750 Nd
0.000 0.145 0.250 Nd
0.000 0.234 0.544 Nd
0.000 0.234 0.956 Nd
0.000 0.766 0.456 Nd
0.000 0.766 0.044 Nd
```

Summary:
Volume = 392 Å³/cell
DFT formation energy = -330.6 meV per atom
Size of the total moment = 0.000 μB per atom
Symmetry = No. 51

---

# 7
First-principles (PBE) data for a relaxed structure of Mg3CrSe, as listed in Alexandria via LeMat-Bulk.

```
Mg3CrSe
1.0
-0.814 -2.963 -4.007
-3.405 -2.634 2.640
-3.639 3.128 -1.573
Cr Mg Se
1 3 1
Direct
0.500 0.500 0.500 Cr
0.000 0.500 0.000 Mg
0.000 0.000 0.500 Mg
0.500 0.000 0.000 Mg
0.000 0.000 0.000 Se
```

Summary:
Volume = 129 Å³/cell
Energy relative to the elements, uncorrected = 0.358 eV/atom
Size of the total moment = 0.884 μB per atom
Polymorph energy (0 for the lowest one) = 0 meV per atom
Symmetry = No. 221

---

# 8
First-principles (PBE) data for a relaxed structure of CoNiCl2, as listed in Alexandria via LeMat-Bulk.

```
CoNiCl2
1.0
3.475 0.000 0.000
0.000 3.520 -0.027
0.000 -0.578 5.663
Cl Co Ni
2 1 1
Direct
0.000 0.504 0.498 Cl
0.000 0.996 0.002 Cl
0.500 0.250 0.250 Co
0.500 0.750 0.750 Ni
```

Summary:
Volume = 69 Å³/cell
Energy relative to the elements, uncorrected = 0.251 eV/atom
Size of the total moment = 0.678 μB per atom
Polymorph energy (0 for the lowest one) = 404 meV per atom
Symmetry = No. 10

---

# 9
First-principles (PBE) data for a relaxed structure of RbHPd3, as listed in Alexandria via LeMat-Bulk.

```
RbHPd3
1.0
5.325 0.000 0.000
0.000 5.325 0.000
0.000 0.000 5.325
Pd H Rb
3 1 1
Direct
0.500 0.000 0.000 Pd
0.000 0.000 0.500 Pd
0.000 0.500 0.000 Pd
0.500 0.500 0.500 H
0.000 0.000 0.000 Rb
```

Summary:
Volume = 151 Å³/cell
Size of the total moment = 0.176 μB per atom
Polymorph energy (0 for the lowest one) = 1652 meV per atom
Symmetry = No. 221

---

# 10
First-principles (PBE) data for a relaxed structure of KBa2NaPb, as listed in Alexandria via LeMat-Bulk.

```
KBa2NaPb
1.0
-4.405 -0.013 5.046
3.609 -4.688 3.139
3.077 4.175 2.697
Na Pb Ba K
1 1 2 1
Direct
0.000 0.000 0.000 Na
0.500 0.500 0.500 Pb
0.000 0.500 0.000 Ba
0.500 0.000 0.000 Ba
0.000 0.000 0.500 K
```

Summary:
Volume = 262 Å³/cell
DFT formation energy = 271.5 meV per atom
Size of the total moment = 0.000 μB per atom
Polymorph energy (0 for the lowest one) = 368 meV per atom
Symmetry = No. 123

---

# 11
First-principles (PBE) data for a relaxed structure of Cr2CuOs, as listed in Alexandria via LeMat-Bulk.

```
Cr2CuOs
1.0
8.732 0.009 0.005
8.335 2.602 0.005
8.335 1.275 2.268
Os Cr Cu
1 2 1
Direct
0.750 0.750 0.750 Os
0.000 0.000 0.000 Cr
0.500 0.500 0.500 Cr
0.250 0.250 0.250 Cu
```

Summary:
Volume = 51 Å³/cell
DFT formation energy = 282.8 meV per atom
Size of the total moment = 0.000 μB per atom
Symmetry = No. 166

---

# 12
First-principles (PBE) data for a relaxed structure of AcSm2In2Ga2, as listed in Alexandria via LeMat-Bulk.

```
AcSm2In2Ga2
1.0
4.679 0.000 0.000
2.340 4.052 0.000
2.340 1.351 10.570
Sm Ga In Ac
2 2 2 1
Direct
0.868 0.868 0.395 Sm
0.132 0.132 0.605 Sm
0.577 0.577 0.269 Ga
0.423 0.423 0.731 Ga
0.265 0.265 0.205 In
0.735 0.735 0.795 In
0.000 0.000 0.000 Ac
```

Summary:
Volume = 200 Å³/cell
DFT formation energy = -333.2 meV per atom
Size of the total moment = 0.000 μB per atom
Symmetry = No. 166